Entry 1:
The following is a DFT calculation (PBE-GGA) of a relaxed structure of PmTlRu.

abc: 6.730 6.730 6.730
angles: 90.00 90.00 90.00
Sites, in units of the cell vectors:
Pm 0.000 0.000 0.000
Pm 0.000 0.500 0.500
Pm 0.500 0.000 0.500
Pm 0.500 0.500 0.000
Tl 0.000 0.000 0.500
Tl 0.000 0.500 0.000
Tl 0.500 0.000 0.000
Tl 0.500 0.500 0.500
Ru 0.250 0.250 0.250
Ru 0.250 0.750 0.750
Ru 0.750 0.250 0.750
Ru 0.750 0.750 0.250

Results
* DFT formation energy: 0.017 eV per atom
* Fermi-level density of states: 3.636 states/eV/cell
* polymorph energy (0 for the lowest one): 43 meV/atom
* total DFT energy (no corrections): -0.4004 Ry/atom



Entry 2:
The following is a DFT calculation (PBE-GGA) of a relaxed structure of PrEuGa2.

abc: 3.741 3.741 7.503
angles: 90.00 90.00 90.00
Sites, in units of the cell vectors:
Pr 0.000 0.000 0.000
Eu 0.000 0.000 0.500
Ga 0.500 0.500 0.245
Ga 0.500 0.500 0.755

Results
* DFT formation energy: -0.495 eV per atom
* Fermi-level density of states: 5.446 states/eV/cell
* polymorph energy (0 for the lowest one): 0 meV/atom
* total DFT energy (no corrections): -0.4243 Ry/atom



Entry 3:
The following is a DFT calculation (PBE-GGA) of a relaxed structure of AcTh2S4.

abc: 6.992 6.992 13.662
angles: 90.00 90.00 146.46
Sites, in units of the cell vectors:
Ac 0.117 0.883 0.750
Ac 0.883 0.117 0.250
Th 0.363 0.637 0.561
Th 0.363 0.637 0.939
Th 0.637 0.363 0.061
Th 0.637 0.363 0.439
S 0.000 0.000 0.000
S 0.000 0.000 0.500
S 0.271 0.729 0.128
S 0.271 0.729 0.372
S 0.453 0.547 0.750
S 0.547 0.453 0.250
S 0.729 0.271 0.628
S 0.729 0.271 0.872

Results
* E_form (uncorrected): -1.8940 eV/atom
* Fermi-level density of states: 10.917 states/eV/cell
* total DFT energy (no corrections): -0.5115 Ry/atom



Entry 4:
The following is a DFT calculation (PBE-GGA) of a relaxed structure of VCr3Mo3.

abc: 5.943 5.943 5.916
angles: 90.00 90.00 91.77
Sites, in units of the cell vectors:
V 0.194 0.194 0.000
V 0.806 0.806 0.000
Cr 0.227 0.773 0.500
Cr 0.255 0.255 0.500
Cr 0.265 0.735 0.000
Cr 0.735 0.265 0.000
Cr 0.745 0.745 0.500
Cr 0.773 0.227 0.500
Mo 0.000 0.500 0.253
Mo 0.000 0.500 0.747
Mo 0.500 0.000 0.253
Mo 0.500 0.000 0.747
Mo 0.500 0.500 0.252
Mo 0.500 0.500 0.748

Results
* DFT formation energy: 0.428 eV per atom
* Fermi-level density of states: 12.738 states/eV/cell
* total DFT energy (no corrections): -0.7086 Ry/atom